Record 1
Here is a relaxed structure of Rb3Hg2I8 from Alexandria. Energies are from PBE. Values from VASP.

Structure (Quantum ESPRESSO input):
```
&SYSTEM
  ibrav = 0, nat = 13, ntyp = 3
/
ATOMIC_SPECIES
Hg 200.59 Hg.upf
I 126.90 I.upf
Rb 85.47 Rb.upf
CELL_PARAMETERS angstrom
-4.207 -3.445 6.333
3.887 -5.180 5.265
2.509 5.465 10.140
ATOMIC_POSITIONS crystal
Hg 0.598 0.598 0.207
Hg 0.402 0.402 0.793
I 0.744 0.744 0.310
I 0.256 0.799 0.690
I 0.316 0.316 0.051
I 0.744 0.201 0.310
I 0.256 0.256 0.690
I 0.684 0.684 0.949
I 0.201 0.744 0.310
I 0.799 0.256 0.690
Rb 0.795 0.795 0.614
Rb 0.205 0.205 0.386
Rb 0.000 0.000 0.000
```

Formation energy from raw total energies = -0.758 eV per atom
V = 49.9 Å³/atom
VASP energy = -1.981 eV/atom

Record 2
Here is a relaxed structure of Rb3Hg12I5 from Alexandria. Energies are from PBE. Values from VASP.

Structure (Quantum ESPRESSO input):
```
&SYSTEM
  ibrav = 0, nat = 80, ntyp = 3
/
ATOMIC_SPECIES
Hg 200.59 Hg.upf
I 126.90 I.upf
Rb 85.47 Rb.upf
CELL_PARAMETERS angstrom
-3.738 -7.244 -15.392
7.280 -11.916 10.410
-14.640 5.943 7.328
ATOMIC_POSITIONS crystal
Hg 0.909 0.076 0.638
Hg 0.333 0.771 0.409
Hg 0.167 0.091 0.729
Hg 0.333 0.562 0.424
Hg 0.771 0.333 0.909
Hg 0.833 0.924 0.062
Hg 0.138 0.729 0.562
Hg 0.062 0.638 0.729
Hg 0.138 0.409 0.076
Hg 0.862 0.271 0.438
Hg 0.638 0.576 0.909
Hg 0.424 0.362 0.591
Hg 0.076 0.909 0.138
Hg 0.062 0.424 0.833
Hg 0.076 0.167 0.438
Hg 0.424 0.062 0.333
Hg 0.862 0.591 0.924
Hg 0.229 0.667 0.091
Hg 0.667 0.229 0.591
Hg 0.667 0.438 0.576
Hg 0.729 0.591 0.167
Hg 0.938 0.576 0.167
Hg 0.576 0.638 0.409
Hg 0.924 0.833 0.562
Hg 0.729 0.138 0.062
Hg 0.362 0.424 0.091
Hg 0.409 0.138 0.576
Hg 0.591 0.862 0.424
Hg 0.271 0.409 0.833
Hg 0.438 0.771 0.862
Hg 0.924 0.091 0.862
Hg 0.576 0.938 0.667
Hg 0.771 0.438 0.362
Hg 0.638 0.062 0.229
Hg 0.271 0.862 0.938
Hg 0.833 0.909 0.271
Hg 0.091 0.924 0.362
Hg 0.909 0.833 0.771
Hg 0.438 0.667 0.076
Hg 0.938 0.362 0.271
Hg 0.409 0.271 0.333
Hg 0.562 0.333 0.924
Hg 0.591 0.729 0.667
Hg 0.091 0.167 0.229
Hg 0.167 0.076 0.938
Hg 0.362 0.938 0.771
Hg 0.562 0.229 0.138
Hg 0.229 0.562 0.638
I 0.500 0.000 0.000
I 0.875 0.250 0.625
I 0.750 0.625 0.375
I 0.250 0.375 0.625
I 0.125 0.750 0.375
I 0.375 0.125 0.750
I 0.625 0.750 0.875
I 0.000 0.500 0.500
I 0.750 0.125 0.875
I 0.000 0.000 0.500
I 0.375 0.250 0.125
I 0.625 0.875 0.250
I 0.125 0.375 0.250
I 0.500 0.500 0.000
I 0.000 0.000 0.000
I 0.000 0.500 0.000
I 0.500 0.500 0.500
I 0.500 0.000 0.500
I 0.875 0.625 0.750
I 0.250 0.875 0.125
Rb 0.625 0.375 0.750
Rb 0.625 0.250 0.375
Rb 0.750 0.875 0.625
Rb 0.375 0.750 0.625
Rb 0.750 0.375 0.125
Rb 0.250 0.125 0.375
Rb 0.375 0.625 0.250
Rb 0.875 0.125 0.250
Rb 0.250 0.625 0.875
Rb 0.875 0.750 0.125
Rb 0.125 0.250 0.875
Rb 0.125 0.875 0.750
```

Formation energy from raw total energies = -0.217 eV per atom
V = 50.8 Å³/atom
VASP energy = -0.931 eV/atom

Record 3
Here is a relaxed structure of Rb2Hg3I8 from Alexandria. Energies are from PBE. Values from VASP.

Structure (Quantum ESPRESSO input):
```
&SYSTEM
  ibrav = 0, nat = 13, ntyp = 3
/
ATOMIC_SPECIES
Hg 200.59 Hg.upf
I 126.90 I.upf
Rb 85.47 Rb.upf
CELL_PARAMETERS angstrom
-3.778 2.491 -5.884
3.403 -5.319 -8.035
-6.789 -7.277 -2.320
ATOMIC_POSITIONS crystal
Hg 0.000 0.679 0.321
Hg 0.000 0.321 0.679
Hg 0.500 0.000 0.000
I 0.204 0.147 0.147
I 0.661 0.878 0.331
I 0.339 0.122 0.669
I 0.101 0.605 0.605
I 0.661 0.331 0.878
I 0.899 0.395 0.395
I 0.339 0.669 0.122
I 0.796 0.853 0.853
Rb 0.476 0.716 0.716
Rb 0.524 0.284 0.284
```

Formation energy from raw total energies = -0.658 eV per atom
V = 52.9 Å³/atom
VASP energy = -1.831 eV/atom

Record 4
Here is a relaxed structure of Rb2HgI2 from Alexandria. Energies are from PBE. Values from VASP.

Structure (Quantum ESPRESSO input):
```
&SYSTEM
  ibrav = 0, nat = 5, ntyp = 3
/
ATOMIC_SPECIES
I 126.90 I.upf
Hg 200.59 Hg.upf
Rb 85.47 Rb.upf
CELL_PARAMETERS angstrom
-0.115 2.918 -6.505
2.898 -5.925 -2.709
-5.088 -4.177 -5.692
ATOMIC_POSITIONS crystal
I 0.750 0.250 0.500
I 0.250 0.750 0.500
Hg 0.000 0.000 0.000
Rb 0.716 0.716 0.569
Rb 0.284 0.284 0.431
```

Energy above the most stable polymorph in this dataset = 65 meV/atom
Formation energy from raw total energies = -1.064 eV per atom
V = 72.1 Å³/atom
VASP energy = -2.131 eV/atom

Record 5
Here is a relaxed structure of RbHg2I2 from Alexandria. Energies are from PBE. Values from VASP.

Structure (Quantum ESPRESSO input):
```
&SYSTEM
  ibrav = 0, nat = 5, ntyp = 3
/
ATOMIC_SPECIES
Hg 200.59 Hg.upf
Rb 85.47 Rb.upf
I 126.90 I.upf
CELL_PARAMETERS angstrom
-3.851 2.037 0.741
-2.166 -3.555 -1.482
-3.206 -4.482 8.846
ATOMIC_POSITIONS crystal
Hg 0.750 0.250 0.500
Hg 0.250 0.750 0.500
Rb 0.000 0.000 0.000
I 0.605 0.605 0.791
I 0.395 0.395 0.209
```

Energy above the most stable polymorph in this dataset = 32 meV/atom
Formation energy from raw total energies = -0.547 eV per atom
V = 38.8 Å³/atom
VASP energy = -1.482 eV/atom

Record 6
Here is a relaxed structure of Rb4Hg2I from Alexandria. Energies are from PBE. Values from VASP.

Structure (Quantum ESPRESSO input):
```
&SYSTEM
  ibrav = 0, nat = 7, ntyp = 3
/
ATOMIC_SPECIES
Rb 85.47 Rb.upf
Hg 200.59 Hg.upf
I 126.90 I.upf
CELL_PARAMETERS angstrom
-6.281 2.950 -1.688
-2.527 -1.682 6.464
7.224 7.160 0.742
ATOMIC_POSITIONS crystal
Rb 0.000 0.500 0.000
Rb 0.500 0.000 0.000
Rb 0.207 0.207 0.415
Rb 0.793 0.793 0.585
Hg 0.586 0.586 0.172
Hg 0.414 0.414 0.828
I 0.000 0.000 0.000
```

Formation energy from raw total energies = -0.445 eV per atom
V = 64.6 Å³/atom
VASP energy = -1.305 eV/atom

Record 7
Here is a relaxed structure of Rb5HgI8 from Alexandria. Energies are from PBE. Values from VASP.

Structure (Quantum ESPRESSO input):
```
&SYSTEM
  ibrav = 0, nat = 14, ntyp = 3
/
ATOMIC_SPECIES
I 126.90 I.upf
Rb 85.47 Rb.upf
Hg 200.59 Hg.upf
CELL_PARAMETERS angstrom
9.338 0.000 -2.682
-4.909 7.613 -3.511
0.481 0.000 9.704
ATOMIC_POSITIONS crystal
I 0.143 0.705 0.955
I 0.563 0.812 0.857
I 0.107 0.786 0.519
I 0.732 0.214 0.320
I 0.680 0.412 0.893
I 0.249 0.295 0.437
I 0.481 0.588 0.268
I 0.045 0.188 0.751
Rb 0.500 0.000 0.500
Rb 0.021 0.405 0.153
Rb 0.748 0.595 0.616
Rb 0.847 0.868 0.252
Rb 0.384 0.132 0.979
Hg 0.250 0.500 0.750
```

Formation energy from raw total energies = -1.037 eV per atom
V = 50.0 Å³/atom
VASP energy = -2.290 eV/atom

Record 8
Here is a relaxed structure of Rb3HgI5 from Alexandria. Energies are from PBE. Values from VASP.

Structure (Quantum ESPRESSO input):
```
&SYSTEM
  ibrav = 0, nat = 18, ntyp = 3
/
ATOMIC_SPECIES
I 126.90 I.upf
Rb 85.47 Rb.upf
Hg 200.59 Hg.upf
CELL_PARAMETERS angstrom
-3.834 -9.133 -1.565
9.045 -4.018 1.293
-4.153 5.789 8.517
ATOMIC_POSITIONS crystal
I 0.000 0.000 0.000
I 0.009 0.511 0.708
I 0.500 0.500 0.000
I 0.800 0.989 0.292
I 0.200 0.011 0.708
I 0.700 0.197 0.708
I 0.491 0.303 0.292
I 0.991 0.489 0.292
I 0.300 0.803 0.292
I 0.509 0.697 0.708
Rb 0.154 0.347 0.000
Rb 0.846 0.653 0.000
Rb 0.250 0.250 0.500
Rb 0.750 0.750 0.500
Rb 0.654 0.153 0.000
Rb 0.346 0.847 0.000
Hg 0.250 0.750 0.500
Hg 0.750 0.250 0.500
```

Formation energy from raw total energies = -1.081 eV per atom
V = 47.6 Å³/atom
VASP energy = -2.298 eV/atom

Record 9
Here is a relaxed structure of Rb2HgI2 from Alexandria. Energies are from PBE. Values from VASP.

Structure (Quantum ESPRESSO input):
```
&SYSTEM
  ibrav = 0, nat = 5, ntyp = 3
/
ATOMIC_SPECIES
I 126.90 I.upf
Rb 85.47 Rb.upf
Hg 200.59 Hg.upf
CELL_PARAMETERS angstrom
-4.947 -3.891 -3.070
4.312 -5.518 0.046
-2.666 -6.489 4.533
ATOMIC_POSITIONS crystal
I 0.314 0.314 0.371
I 0.686 0.686 0.629
Rb 0.750 0.250 0.500
Rb 0.250 0.750 0.500
Hg 0.000 0.000 0.000
```

Energy above the most stable polymorph in this dataset = 61 meV/atom
Formation energy from raw total energies = -1.068 eV per atom
V = 66.0 Å³/atom
VASP energy = -2.136 eV/atom

Record 10
Here is a relaxed structure of Rb3HgI6 from Alexandria. Energies are from PBE. Values from VASP.

Structure (Quantum ESPRESSO input):
```
&SYSTEM
  ibrav = 0, nat = 20, ntyp = 3
/
ATOMIC_SPECIES
Rb 85.47 Rb.upf
I 126.90 I.upf
Hg 200.59 Hg.upf
CELL_PARAMETERS angstrom
6.915 0.000 0.000
0.000 12.788 -0.176
0.000 -3.025 12.426
ATOMIC_POSITIONS crystal
Rb 0.441 0.381 0.619
Rb 0.941 0.619 0.381
Rb 0.465 0.302 0.066
Rb 0.965 0.698 0.934
Rb 0.465 0.934 0.698
Rb 0.965 0.066 0.302
I 0.156 0.068 0.932
I 0.676 0.881 0.423
I 0.706 0.337 0.342
I 0.656 0.932 0.068
I 0.176 0.423 0.881
I 0.176 0.119 0.577
I 0.206 0.663 0.658
I 0.706 0.658 0.663
I 0.676 0.577 0.119
I 0.206 0.342 0.337
I 0.643 0.212 0.788
I 0.143 0.788 0.212
Hg 0.051 0.204 0.796
Hg 0.551 0.796 0.204
```

Energy above the most stable polymorph in this dataset = 0 meV/atom
Formation energy from raw total energies = -0.965 eV per atom
V = 54.8 Å³/atom
VASP energy = -2.216 eV/atom

Record 11
Here is a relaxed structure of Rb3HgI3 from Alexandria. Energies are from PBE. Values from VASP.

Structure (Quantum ESPRESSO input):
```
&SYSTEM
  ibrav = 0, nat = 14, ntyp = 3
/
ATOMIC_SPECIES
I 126.90 I.upf
Rb 85.47 Rb.upf
Hg 200.59 Hg.upf
CELL_PARAMETERS angstrom
10.167 0.000 0.000
0.000 10.167 0.000
0.000 0.000 10.167
ATOMIC_POSITIONS crystal
I 0.500 0.750 0.000
I 0.000 0.500 0.250
I 0.750 0.000 0.500
I 0.000 0.500 0.750
I 0.500 0.250 0.000
I 0.250 0.000 0.500
Rb 0.750 0.500 0.000
Rb 0.500 0.000 0.750
Rb 0.500 0.000 0.250
Rb 0.000 0.750 0.500
Rb 0.000 0.250 0.500
Rb 0.250 0.500 0.000
Hg 0.500 0.500 0.500
Hg 0.000 0.000 0.000
```

Energy above the most stable polymorph in this dataset = 56 meV/atom
Formation energy from raw total energies = -1.179 eV per atom
V = 75.1 Å³/atom
VASP energy = -2.301 eV/atom

Record 12
Here is a relaxed structure of RbHg2I2 from Alexandria. Energies are from PBE. Values from VASP.

Structure (Quantum ESPRESSO input):
```
&SYSTEM
  ibrav = 0, nat = 10, ntyp = 3
/
ATOMIC_SPECIES
Rb 85.47 Rb.upf
Hg 200.59 Hg.upf
I 126.90 I.upf
CELL_PARAMETERS angstrom
9.461 0.000 0.000
0.000 9.461 0.000
0.000 0.000 4.455
ATOMIC_POSITIONS crystal
Rb 0.000 0.000 0.000
Rb 0.500 0.500 0.000
Hg 0.106 0.394 0.000
Hg 0.894 0.606 0.000
Hg 0.394 0.894 0.000
Hg 0.606 0.106 0.000
I 0.285 0.215 0.500
I 0.785 0.285 0.500
I 0.215 0.715 0.500
I 0.715 0.785 0.500
```

Energy above the most stable polymorph in this dataset = 59 meV/atom
Formation energy from raw total energies = -0.520 eV per atom
V = 39.9 Å³/atom
VASP energy = -1.454 eV/atom

Record 13
Here is a relaxed structure of Rb2HgI2 from Alexandria. Energies are from PBE. Values from VASP.

Structure (Quantum ESPRESSO input):
```
&SYSTEM
  ibrav = 0, nat = 10, ntyp = 3
/
ATOMIC_SPECIES
Rb 85.47 Rb.upf
I 126.90 I.upf
Hg 200.59 Hg.upf
CELL_PARAMETERS angstrom
10.189 0.000 0.000
0.000 10.189 0.000
0.000 0.000 4.586
ATOMIC_POSITIONS crystal
Rb 0.855 0.645 0.000
Rb 0.145 0.355 0.000
Rb 0.645 0.145 0.000
Rb 0.355 0.855 0.000
I 0.345 0.155 0.500
I 0.845 0.345 0.500
I 0.655 0.845 0.500
I 0.155 0.655 0.500
Hg 0.500 0.500 0.000
Hg 0.000 0.000 0.000
```

Energy above the most stable polymorph in this dataset = 0 meV/atom
Formation energy from raw total energies = -1.129 eV per atom
V = 47.6 Å³/atom
VASP energy = -2.197 eV/atom

Record 14
Here is a relaxed structure of RbHg2I2 from Alexandria. Energies are from PBE. Values from VASP.

Structure (Quantum ESPRESSO input):
```
&SYSTEM
  ibrav = 0, nat = 10, ntyp = 3
/
ATOMIC_SPECIES
I 126.90 I.upf
Hg 200.59 Hg.upf
Rb 85.47 Rb.upf
CELL_PARAMETERS angstrom
9.929 0.000 0.000
0.000 9.929 0.000
0.000 0.000 5.849
ATOMIC_POSITIONS crystal
I 0.311 0.189 0.000
I 0.189 0.689 0.000
I 0.811 0.311 0.000
I 0.689 0.811 0.000
Hg 0.102 0.602 0.500
Hg 0.898 0.398 0.500
Hg 0.398 0.102 0.500
Hg 0.602 0.898 0.500
Rb 0.500 0.500 0.000
Rb 0.000 0.000 0.000
```

Energy above the most stable polymorph in this dataset = 39 meV/atom
Formation energy from raw total energies = -0.540 eV per atom
V = 57.7 Å³/atom
VASP energy = -1.474 eV/atom

Record 15
Here is a relaxed structure of Rb3HgI from Alexandria. Energies are from PBE. Values from VASP.

Structure (Quantum ESPRESSO input):
```
&SYSTEM
  ibrav = 0, nat = 10, ntyp = 3
/
ATOMIC_SPECIES
Rb 85.47 Rb.upf
Hg 200.59 Hg.upf
I 126.90 I.upf
CELL_PARAMETERS angstrom
-0.057 4.028 -2.827
8.719 -3.970 -5.832
-9.828 -3.035 -4.127
ATOMIC_POSITIONS crystal
Rb 0.250 0.021 0.704
Rb 0.750 0.388 0.654
Rb 0.750 0.979 0.296
Rb 0.250 0.742 0.906
Rb 0.750 0.258 0.094
Rb 0.250 0.612 0.346
Hg 0.250 0.416 0.940
Hg 0.750 0.584 0.060
I 0.750 0.728 0.634
I 0.250 0.272 0.366
```

Energy above the most stable polymorph in this dataset = 0 meV/atom
Formation energy from raw total energies = -0.637 eV per atom
V = 56.1 Å³/atom
VASP energy = -1.588 eV/atom

Record 16
Here is a relaxed structure of Rb2HgI7 from Alexandria. Energies are from PBE. Values from VASP.

Structure (Quantum ESPRESSO input):
```
&SYSTEM
  ibrav = 0, nat = 10, ntyp = 3
/
ATOMIC_SPECIES
I 126.90 I.upf
Rb 85.47 Rb.upf
Hg 200.59 Hg.upf
CELL_PARAMETERS angstrom
-2.870 -6.139 5.873
6.632 -5.494 -2.501
5.564 -3.359 6.055
ATOMIC_POSITIONS crystal
I 0.228 0.228 0.000
I 0.266 0.266 0.469
I 0.228 0.772 0.000
I 0.500 0.500 0.000
I 0.772 0.228 0.000
I 0.772 0.772 0.000
I 0.734 0.734 0.531
Rb 0.250 0.750 0.500
Rb 0.750 0.250 0.500
Hg 0.000 0.000 0.000
```

Formation energy from raw total energies = -0.588 eV per atom
V = 50.0 Å³/atom
VASP energy = -1.896 eV/atom

Record 17
Here is a relaxed structure of Rb2HgRhI from Alexandria. Energies are from PBE. Values from VASP.

Structure (Quantum ESPRESSO input):
```
&SYSTEM
  ibrav = 0, nat = 5, ntyp = 4
/
ATOMIC_SPECIES
Rh 102.91 Rh.upf
I 126.90 I.upf
Hg 200.59 Hg.upf
Rb 85.47 Rb.upf
CELL_PARAMETERS angstrom
-1.435 6.463 1.711
-5.852 -1.760 1.742
2.246 -1.182 6.350
ATOMIC_POSITIONS crystal
Rh 0.500 0.500 0.500
I 0.000 0.500 0.000
Hg 0.000 0.000 0.000
Rb 0.000 0.000 0.500
Rb 0.500 0.000 0.000
```

Formation energy from raw total energies = 0.516 eV per atom
V = 59.4 Å³/atom
VASP energy = -1.712 eV/atom

Record 18
Here is a relaxed structure of Rb2Hg2RhI4 from Alexandria. Energies are from PBE. Values from VASP.

Structure (Quantum ESPRESSO input):
```
&SYSTEM
  ibrav = 0, nat = 9, ntyp = 4
/
ATOMIC_SPECIES
Hg 200.59 Hg.upf
I 126.90 I.upf
Rb 85.47 Rb.upf
Rh 102.91 Rh.upf
CELL_PARAMETERS angstrom
7.420 0.648 0.935
-2.994 6.820 -0.935
-2.994 -3.272 6.057
ATOMIC_POSITIONS crystal
Hg 0.000 0.676 0.676
Hg 0.000 0.324 0.324
I 0.000 0.780 0.220
I 0.561 0.780 0.780
I 0.439 0.220 0.220
I 0.000 0.220 0.780
Rb 0.500 0.750 0.250
Rb 0.500 0.250 0.750
Rh 0.000 0.000 0.000
```

Formation energy from raw total energies = -0.715 eV per atom
V = 36.2 Å³/atom
VASP energy = -2.503 eV/atom

Record 19
Here is a relaxed structure of Rb2HgRuI6 from Alexandria. Energies are from PBE. Values from VASP.

Structure (Quantum ESPRESSO input):
```
&SYSTEM
  ibrav = 0, nat = 10, ntyp = 4
/
ATOMIC_SPECIES
I 126.90 I.upf
Ru 101.07 Ru.upf
Rb 85.47 Rb.upf
Hg 200.59 Hg.upf
CELL_PARAMETERS angstrom
-0.594 -0.671 8.302
-8.027 -2.177 -0.751
-2.718 -7.175 3.425
ATOMIC_POSITIONS crystal
I 0.728 0.728 0.543
I 0.732 0.268 0.000
I 0.732 0.732 0.000
I 0.272 0.272 0.457
I 0.268 0.732 0.000
I 0.268 0.268 0.000
Ru 0.500 0.500 0.000
Rb 0.750 0.250 0.500
Rb 0.250 0.750 0.500
Hg 0.000 0.000 0.000
```

Formation energy from raw total energies = -0.572 eV per atom
V = 41.7 Å³/atom
VASP energy = -2.654 eV/atom